This record from Alexandria describes K2MnTc after structural relaxation. The functional is PBE-GGA.

Calculated values
Formation energy from the elements: 1.4380 eV per atom
Excess energy over the best structure of this formula in the dataset: 2.71 eV per formula unit
Size of the total moment: 7.601 μB per cell
N(E_F): 10.34 states/eV per cell
VASP energy: -3.995 eV/atom

```
data_K2MnTc
_cell_length_a 7.5403
_cell_length_b 7.5403
_cell_length_c 7.5403
_cell_angle_alpha 90.00
_cell_angle_beta 90.00
_cell_angle_gamma 90.00
_space_group_name_H-M_alt 'F -4 3 m'
_space_group_IT_number 216
_space_group_name_Hall 'F -4 2 3'
loop_
_atom_site_label
_atom_site_fract_x
_atom_site_fract_y
_atom_site_fract_z
K1 0.0000 0.0000 0.0000
K2 0.2500 0.2500 0.2500
Mn1 0.0000 0.0000 0.5000
Tc1 0.2500 0.2500 0.7500
```